Record 1
The following is a PBE-GGA calculation of a relaxed AgMo2Au crystal, from Alexandria.

Fermi-level density of states, states/eV/atom: 0.525
Final energy, eV per atom: -6.52
Offset from the most stable computed form, meV per atom: 226

a b c (Å): 4.9084 4.9084 4.9084
angles (deg): 130.83 130.83 72.09
Atoms (fractional coordinates):
Ag 0.0000 0.0000 0.0000
Mo 0.5000 0.5000 0.0000
Mo 0.7500 0.2500 0.5000
Au 0.2500 0.7500 0.5000

Record 2
The following is a PBE-GGA calculation of a relaxed SrZn2Si crystal, from Alexandria.

Fermi-level density of states, states/eV/atom: 0.442
Final energy, eV per atom: -2.36
Uncorrected formation energy, eV/f.u.: 0.2

a b c (Å): 3.6040 3.6040 6.7013
angles (deg): 90.00 90.00 90.00
Atoms (fractional coordinates):
Sr 0.0000 0.0000 0.0000
Zn 0.5000 0.5000 0.3109
Zn 0.5000 0.5000 0.6891
Si 0.0000 0.0000 0.5000

Record 3
The following is a PBE-GGA calculation of a relaxed Sm2BeSiPt6 crystal, from Alexandria.

Fermi-level density of states, states/eV/atom: 0.259
Final energy, eV per atom: -6.39
Uncorrected formation energy, eV/f.u.: -9.1

a b c (Å): 5.7778 5.7778 7.1170
angles (deg): 113.89 113.89 60.03
Atoms (fractional coordinates):
Sm 0.2139 0.2139 0.1411
Sm 0.7861 0.7861 0.8589
Be 0.0000 0.0000 0.5000
Si 0.5000 0.5000 0.0000
Pt 0.2424 0.7218 0.7072
Pt 0.2426 0.2426 0.7072
Pt 0.2782 0.7576 0.2928
Pt 0.7218 0.2424 0.7072
Pt 0.7574 0.7574 0.2928
Pt 0.7576 0.2782 0.2928

Record 4
The following is a PBE-GGA calculation of a relaxed CrGeTeRu crystal, from Alexandria.

Fermi-level density of states, states/eV/atom: 0.595
Final energy, eV per atom: -6.53
Uncorrected formation energy, eV/f.u.: 0.5
Offset from the most stable computed form, meV per atom: 131

a b c (Å): 3.3197 3.4036 6.2276
angles (deg): 90.00 90.00 90.00
Atoms (fractional coordinates):
Cr 0.0000 0.0000 0.0000
Ge 0.0000 0.5000 0.7086
Te 0.5000 0.5000 0.2063
Ru 0.5000 0.0000 0.5655

Record 5
The following is a PBE-GGA calculation of a relaxed CaV2Cd crystal, from Alexandria.

Fermi-level density of states, states/eV/atom: 1.001
Final energy, eV per atom: -4.51

a b c (Å): 10.8237 10.8237 10.8237
angles (deg): 157.30 157.30 32.32
Atoms (fractional coordinates):
Ca 0.0000 0.0000 0.0000
Ca 0.7500 0.2500 0.5000
V 0.3587 0.1250 0.7337
V 0.3750 0.6413 0.7663
V 0.3913 0.6250 0.2663
V 0.8750 0.6087 0.2337
Cd 0.2500 0.7500 0.5000
Cd 0.5000 0.5000 0.0000

Record 6
The following is a PBE-GGA calculation of a relaxed Pr3SmSi4 crystal, from Alexandria.

Fermi-level density of states, states/eV/atom: 1.007
Final energy, eV per atom: -5.62
Uncorrected formation energy, eV/f.u.: -4.2

a b c (Å): 8.9588 8.9588 8.9588
angles (deg): 152.90 138.03 50.67
Atoms (fractional coordinates):
Pr 0.0000 0.0000 0.0000
Pr 0.3063 0.8063 0.5000
Pr 0.6937 0.1937 0.5000
Sm 0.5000 0.5000 0.0000
Si 0.0517 0.3697 0.6820
Si 0.3123 0.6303 0.6820
Si 0.6877 0.3697 0.3180
Si 0.9483 0.6303 0.3180

Record 7
The following is a PBE-GGA calculation of a relaxed PmNpSi crystal, from Alexandria.

Fermi-level density of states, states/eV/atom: 1.133
Final energy, eV per atom: -7.57
Uncorrected formation energy, eV/f.u.: 0.4

a b c (Å): 10.7081 10.5617 3.7982
angles (deg): 81.90 77.55 20.56
Atoms (fractional coordinates):
Pm 0.1325 0.1325 0.8675
Pm 0.8675 0.8675 0.1325
Np 0.2976 0.7024 0.2976
Np 0.7024 0.2976 0.7024
Si 0.2500 0.2500 0.2500
Si 0.7500 0.7500 0.7500

Record 8
The following is a PBE-GGA calculation of a relaxed YMg6ZnO8 crystal, from Alexandria.

Fermi-level density of states, states/eV/atom: 0.035
Final energy, eV per atom: -5.98
Uncorrected formation energy, eV/f.u.: -38.8
Offset from the most stable computed form, meV per atom: 25

a b c (Å): 4.4306 4.4306 9.0171
angles (deg): 90.00 90.00 90.00
Atoms (fractional coordinates):
Y 0.0000 0.0000 0.0000
Mg 0.0000 0.5000 0.2684
Mg 0.0000 0.5000 0.7316
Mg 0.5000 0.0000 0.2684
Mg 0.5000 0.0000 0.7316
Mg 0.5000 0.5000 0.0000
Mg 0.5000 0.5000 0.5000
Zn 0.0000 0.0000 0.5000
O 0.0000 0.0000 0.2495
O 0.0000 0.0000 0.7505
O 0.0000 0.5000 0.0000
O 0.0000 0.5000 0.5000
O 0.5000 0.0000 0.0000
O 0.5000 0.0000 0.5000
O 0.5000 0.5000 0.2522
O 0.5000 0.5000 0.7478

The lowest Fermi-level density of states belongs to which entry?
YMg6ZnO8

Among the records above, which one has the highest Fermi-level density of states?
PmNpSi